1.
## BeHgAu (PBE)

Data for an optimized crystal structure of BeHgAu.

POSCAR file:
```
BeHgAu
1.0
0.000 2.966 2.966
2.966 0.000 2.966
2.966 2.966 0.000
Be Hg Au
1 1 1
direct
0.000 0.000 0.000 Be
0.250 0.250 0.250 Hg
0.750 0.750 0.750 Au
```

Results
- Total DFT energy (no corrections): -2.306 eV per atom


2.
## Li4Al2NiAu (PBE)

Data for an optimized crystal structure of Li4Al2NiAu.

POSCAR file:
```
Li4Al2NiAu
1.0
4.258 0.000 0.000
0.000 4.258 0.000
0.000 0.000 6.066
Li Al Ni Au
4 2 1 1
direct
0.000 0.000 0.000 Li
0.000 0.500 0.740 Li
0.500 0.000 0.260 Li
0.500 0.500 0.500 Li
0.000 0.500 0.273 Al
0.500 0.000 0.727 Al
0.000 0.000 0.500 Ni
0.500 0.500 0.000 Au
```

Results
- Total DFT energy (no corrections): -3.368 eV per atom


3.
## Rb2Na2ZnP2 (PBE)

Data for an optimized crystal structure of Rb2Na2ZnP2.

POSCAR file:
```
Rb2Na2ZnP2
1.0
2.830 1.634 8.147
-2.830 1.634 8.147
0.000 -3.268 8.147
Rb Na Zn P
2 2 1 2
direct
0.110 0.110 0.110 Rb
0.890 0.890 0.890 Rb
0.295 0.295 0.295 Na
0.705 0.705 0.705 Na
0.500 0.500 0.500 Zn
0.409 0.409 0.409 P
0.591 0.591 0.591 P
```

Results
- Excess energy over the best structure of this formula in the dataset: 0.031 eV per atom


4.
## YTmMg (PBE)

Data for an optimized crystal structure of YTmMg.

POSCAR file:
```
YTmMg
1.0
1.814 -8.633 0.000
1.814 8.633 0.000
0.000 0.000 5.449
Y Tm Mg
2 2 2
direct
0.225 0.775 0.750 Y
0.775 0.225 0.250 Y
0.096 0.904 0.250 Tm
0.904 0.096 0.750 Tm
0.437 0.563 0.250 Mg
0.563 0.437 0.750 Mg
```

Results
- Excess energy over the best structure of this formula in the dataset: 0.024 eV per atom


5.
## DyMg (PBE)

Data for an optimized crystal structure of DyMg.

POSCAR file:
```
DyMg
1.0
6.738 0.000 0.000
0.000 5.308 0.000
-0.016 0.000 9.188
Dy Mg
6 6
direct
0.006 0.250 0.088 Dy
0.249 0.250 0.747 Dy
0.252 0.750 0.253 Dy
0.748 0.250 0.747 Dy
0.751 0.750 0.253 Dy
0.994 0.750 0.912 Dy
0.004 0.750 0.573 Mg
0.493 0.750 0.923 Mg
0.496 0.250 0.411 Mg
0.504 0.750 0.589 Mg
0.507 0.250 0.077 Mg
0.996 0.250 0.427 Mg
```

Results
- Total DFT energy (no corrections): -3.092 eV per atom


For the records above, the corresponding ρ values read 12.94; 5.09; 2.53; 5.49; 5.66 g/cm³.